[1]
Density functional theory data (PBE) for Pm6Er5Tm2 after structural relaxation.

Geometry as extended XYZ:
```
26
Lattice="-1.527 3.176 -0.712 -8.386 -2.308 7.690 11.148 8.669 14.758" Properties=species:S:1:pos:R:3 pbc="T T T"
Pm -0.626 3.371 16.378
Pm 4.893 6.707 10.344
Pm 2.375 5.804 20.792
Pm 0.387 0.557 1.657
Pm -0.028 2.342 10.504
Pm 2.789 4.019 11.944
Pm -3.422 -0.199 6.451
Pm -3.658 2.830 11.392
Pm -2.007 2.007 4.181
Pm 3.242 7.530 17.555
Pm 3.388 2.990 6.071
Pm 6.184 6.560 15.997
Er 1.656 4.744 8.532
Er 3.927 6.950 13.500
Er -4.956 0.434 3.489
Er -0.421 4.793 13.204
Er 0.251 6.197 18.028
Er 8.111 9.321 15.104
Er 4.810 5.922 7.023
Er 0.984 3.339 3.708
Er -6.876 0.216 6.633
Er -2.693 2.587 8.237
Tm -4.668 -0.110 9.519
Tm 0.424 1.743 6.863
Tm 7.430 6.471 12.930
Tm 2.338 4.618 15.585
```

Computed properties:
formation enthalpy at 0 K: 0.10 eV per atom
magnetic moment: 0.00 μB per formula unit
Fermi-level density of states: 1.1904 states/eV per atom

=====

[2]
Density functional theory data (PBE) for MgTeH after structural relaxation.

Geometry as extended XYZ:
```
12
Lattice="8.422 0.000 -0.604 0.000 7.034 0.000 -1.409 0.000 4.549" Properties=species:S:1:pos:R:3 pbc="T T T"
Te 6.778 3.331 0.517
Te 4.446 6.848 3.125
Te 2.567 0.186 0.819
Te 0.235 3.702 3.427
H -0.455 0.236 3.502
H 3.257 3.753 0.745
H 3.756 3.281 3.199
H 7.468 6.798 0.443
Mg 0.123 1.134 1.932
Mg 6.891 5.900 2.012
Mg 2.680 4.651 2.314
Mg 4.334 2.383 1.630
```

Computed properties:
total DFT energy (no corrections): -2.9099 eV/atom
magnetic moment: 0.00 μB per formula unit

=====

[3]
Density functional theory data (PBE) for Al3ZnAg12 after structural relaxation.

Geometry as extended XYZ:
```
16
Lattice="-3.246 -1.420 2.024 2.283 -3.006 1.551 3.837 9.547 12.852" Properties=species:S:1:pos:R:3 pbc="T T T"
Ag -1.143 0.484 2.620
Ag 1.734 7.642 12.256
Ag 3.541 4.468 8.813
Ag 1.621 -0.308 2.384
Ag 1.437 2.560 8.214
Ag 0.777 5.260 9.050
Ag 4.498 6.849 12.019
Ag 2.396 4.947 11.427
Ag 2.578 2.073 5.589
Ag -0.186 2.866 5.826
Ag -0.482 -2.213 1.788
Ag 0.477 0.173 5.000
Al 0.955 2.375 3.198
Al 1.918 4.773 6.426
Al 2.882 7.171 9.654
Zn 0.000 0.000 0.000
```

Computed properties:
formation enthalpy at 0 K: -0.03 eV per atom
magnetic moment: 0.00 μB per formula unit
Fermi-level density of states: 0.3132 states/eV per atom

=====

[4]
Density functional theory data (PBE) for NaLiAsI2 after structural relaxation.

Geometry as extended XYZ:
```
5
Lattice="-5.440 -1.541 -2.148 1.948 -3.731 -2.257 -0.950 -3.447 4.878" Properties=species:S:1:pos:R:3 pbc="T T T"
As 0.000 0.000 0.000
I -0.475 -1.724 2.439
I -2.720 -0.771 -1.074
Na -2.221 -4.360 0.237
Li 0.974 -1.866 -1.129
```

Computed properties:
ΔE_f (raw): -2.2 eV/f.u.
magnetic moment: 0.00 μB per formula unit
Fermi-level density of states: 0.2678 states/eV per atom

=====

[5]
Density functional theory data (PBE) for BaThZn4 after structural relaxation.

Geometry as extended XYZ:
```
6
Lattice="5.750 0.000 0.000 2.875 4.979 0.000 2.875 1.660 4.695" Properties=species:S:1:pos:R:3 pbc="T T T"
Ba 2.875 1.660 1.174
Zn 5.750 3.320 0.553
Zn 7.215 4.165 2.945
Zn 5.750 1.628 2.945
Zn 4.285 4.165 2.945
Th 0.000 0.000 0.000
```

Computed properties:
formation enthalpy at 0 K: -0.07 eV per atom
magnetic moment: 0.00 μB per formula unit
Fermi-level density of states: 0.5632 states/eV per atom

=====

[6]
Density functional theory data (PBE) for LiInPb6 after structural relaxation.

Geometry as extended XYZ:
```
8
Lattice="6.235 1.486 0.000 2.785 7.083 0.000 1.393 3.542 6.033" Properties=species:S:1:pos:R:3 pbc="T T T"
Pb 2.196 2.112 0.000
Pb 5.362 2.850 2.718
Pb 3.658 5.719 2.718
Pb 6.755 6.392 3.315
Pb 6.824 6.457 0.000
Pb 5.050 9.260 3.315
In 4.510 4.285 0.000
Li 0.000 0.000 0.000
```

Computed properties:
formation enthalpy at 0 K: 0.05 eV per atom
magnetic moment: 0.00 μB per formula unit
Fermi-level density of states: 0.3554 states/eV per atom